# 1
A relaxed structure of Te2As. Source: Alexandria, functional GGA-PBE.

Results
The value obtained for the total magnetization is 0.000 μB per atom. The total energy comes out at -3.280 eV/atom. Its polymorph energy (0 for the lowest one) is 324.9 meV/atom. The calculation puts the theoretical density at 7.13 g cm⁻³.

Cell lengths 6.226, 6.226, 6.226 Å; angles 145.55, 145.55, 49.51 degrees
Sites, in units of the cell vectors:
Te 0.351 0.351 0.000
Te 0.649 0.649 0.000
As 0.000 0.000 0.000

# 2
A relaxed structure of LiLaMg2Ga2. Source: Alexandria, functional GGA-PBE.

Results
The value obtained for the total magnetization is 0.000 μB per atom. The total energy comes out at -3.038 eV/atom. The calculation puts the theoretical density at 4.14 g cm⁻³.

Cell lengths 4.688, 4.688, 7.035 Å; angles 90.00, 90.00, 120.00 degrees
Sites, in units of the cell vectors:
Ga 0.667 0.333 0.757
Ga 0.333 0.667 0.243
La 0.000 0.000 0.000
Li 0.000 0.000 0.500
Mg 0.667 0.333 0.336
Mg 0.333 0.667 0.664

# 3
A relaxed structure of MnNiP6. Source: Alexandria, functional GGA-PBE.

Results
The value obtained for the total magnetization is 0.113 μB per atom. The total energy comes out at -6.251 eV/atom. The calculation puts the theoretical density at 4.14 g cm⁻³.

Cell lengths 6.806, 6.806, 6.758 Å; angles 109.31, 109.58, 109.81 degrees
Sites, in units of the cell vectors:
P 0.854 0.649 0.503
P 0.793 0.141 0.645
P 0.856 0.353 0.208
P 0.645 0.504 0.852
P 0.146 0.351 0.497
P 0.652 0.793 0.148
P 0.503 0.852 0.645
P 0.144 0.647 0.792
P 0.497 0.148 0.355
P 0.355 0.496 0.148
P 0.348 0.207 0.852
P 0.207 0.859 0.355
Ni 0.500 0.000 0.000
Ni 0.000 0.500 0.000
Mn 0.500 0.500 0.500
Mn 0.000 0.000 0.500

# 4
A relaxed structure of Zn3P2H2O9. Source: Alexandria, functional GGA-PBE.

Results
The value obtained for the total magnetization is 0.000 μB per atom. The total energy comes out at -5.891 eV/atom. The calculation puts the theoretical density at 3.64 g cm⁻³.

Cell lengths 4.941, 8.817, 17.017 Å; angles 95.21, 90.00, 90.00 degrees
Sites, in units of the cell vectors:
O 0.168 0.726 0.528
O 0.593 0.639 0.452
O 0.153 0.200 0.860
O 0.333 0.905 0.741
O 0.731 0.972 0.915
O 0.660 0.385 0.290
O 0.246 0.817 0.892
O 0.667 0.095 0.259
O 0.907 0.639 0.952
O 0.754 0.183 0.108
O 0.668 0.274 0.972
O 0.332 0.726 0.028
O 0.340 0.615 0.710
O 0.847 0.800 0.140
O 0.160 0.615 0.210
O 0.746 0.183 0.608
O 0.231 0.028 0.585
O 0.840 0.385 0.790
O 0.733 0.741 0.782
O 0.141 0.540 0.405
O 0.167 0.905 0.241
O 0.269 0.028 0.085
O 0.832 0.274 0.472
O 0.407 0.361 0.548
O 0.859 0.460 0.595
O 0.641 0.460 0.095
O 0.767 0.741 0.282
O 0.093 0.361 0.048
O 0.347 0.200 0.360
O 0.833 0.095 0.759
O 0.267 0.259 0.218
O 0.359 0.540 0.905
O 0.254 0.817 0.392
O 0.769 0.972 0.415
O 0.233 0.259 0.718
O 0.653 0.800 0.640
H 0.287 0.919 0.067
H 0.547 0.930 0.905
H 0.713 0.081 0.933
H 0.047 0.070 0.595
H 0.213 0.919 0.567
H 0.453 0.070 0.095
H 0.787 0.081 0.433
H 0.953 0.930 0.405
Zn 0.707 0.567 0.847
Zn 0.203 0.331 0.445
Zn 0.008 0.081 0.182
Zn 0.297 0.331 0.945
Zn 0.293 0.433 0.153
Zn 0.508 0.919 0.318
Zn 0.797 0.669 0.555
Zn 0.207 0.433 0.653
Zn 0.703 0.669 0.055
Zn 0.793 0.567 0.347
Zn 0.992 0.919 0.818
Zn 0.492 0.081 0.682
P 0.491 0.239 0.283
P 0.712 0.313 0.556
P 0.788 0.313 0.056
P 0.009 0.239 0.783
P 0.212 0.687 0.944
P 0.288 0.687 0.444
P 0.509 0.761 0.717
P 0.991 0.761 0.217

# 5
A relaxed structure of Tb5NdYEr2. Source: Alexandria, functional GGA-PBE.

Results
The value obtained for the total magnetization is 0.000 μB per atom. The total energy comes out at -4.677 eV/atom. The calculation puts the theoretical density at 7.66 g cm⁻³.

Cell lengths 5.617, 10.314, 10.601 Å; angles 90.00, 90.00, 105.80 degrees
Sites, in units of the cell vectors:
Tb 0.611 0.223 0.523
Tb 0.982 0.964 0.524
Tb 0.282 0.564 0.311
Tb 0.389 0.777 0.023
Tb 0.701 0.403 0.209
Tb 0.299 0.597 0.709
Tb 0.018 0.036 0.024
Tb 0.521 0.043 0.238
Tb 0.479 0.957 0.738
Tb 0.718 0.436 0.811
Y 0.200 0.401 0.012
Y 0.800 0.599 0.512
Nd 0.416 0.831 0.452
Nd 0.584 0.169 0.952
Er 0.886 0.771 0.820
Er 0.111 0.222 0.735
Er 0.889 0.778 0.235
Er 0.114 0.229 0.320

# 6
A relaxed structure of Ta4MoBr. Source: Alexandria, functional GGA-PBE.

Results
The value obtained for the total magnetization is 0.000 μB per atom. The total energy comes out at -9.126 eV/atom. The calculation puts the theoretical density at 12.90 g cm⁻³.

Cell lengths 5.471, 5.471, 5.471 Å; angles 60.00, 60.00, 60.00 degrees
Sites, in units of the cell vectors:
Ta 0.878 0.374 0.374
Ta 0.374 0.374 0.374
Ta 0.374 0.878 0.374
Ta 0.374 0.374 0.878
Mo 0.000 0.000 0.000
Br 0.750 0.750 0.750